Record 1
GGA+U Sr4Fe3ReO12, relaxed; density = 5.87 g cm⁻³; electronic total energy = -6.901 eV per atom; V = 12.69 Å³/atom; symmetry = Im-3m, No. 229
1.0
-6.060 -0.253 -3.306
-0.180 -4.223 5.464
1.196 6.463 2.124
Sr Fe Re O
4 3 1 12
direct
0.000 0.000 0.500
0.500 0.000 0.000
0.000 0.500 0.000
0.500 0.500 0.500
0.500 0.500 0.000
0.500 0.000 0.500
0.000 0.500 0.500
0.000 0.000 0.000
0.250 0.750 0.500
0.750 0.250 0.500
0.250 0.500 0.750
0.750 0.500 0.250
0.500 0.250 0.750
0.500 0.750 0.250
0.763 0.763 0.000
0.237 0.237 0.000
0.237 0.000 0.237
0.763 0.000 0.763
0.000 0.237 0.237
0.000 0.763 0.763

---

Record 2
GGA+U SrFe2ReO6, relaxed; density = 6.19 g cm⁻³; electronic total energy = -7.247 eV per atom; V = 12.92 Å³/atom; symmetry = P1, No. 1
1.0
-1.785 2.229 -4.824
-3.817 -2.554 -2.843
-5.467 2.490 -0.457
Sr Fe Re O
1 2 1 6
direct
0.807 0.770 0.623
0.537 0.505 0.430
0.003 0.014 0.956
0.329 0.318 0.037
0.557 0.295 0.203
0.243 0.967 0.236
0.935 0.588 0.229
0.353 0.700 0.761
0.710 0.167 0.773
0.186 0.338 0.767

---

Record 3
GGA+U SrFeRe2O8, relaxed; density = 5.39 g cm⁻³; electronic total energy = -7.660 eV per atom; V = 16.53 Å³/atom; symmetry = P-3m1, No. 164
1.0
-5.517 -1.127 -1.349
3.474 -4.273 1.788
-1.831 1.218 6.471
Sr Fe Re O
1 1 2 8
direct
0.000 0.000 0.000
0.000 0.000 0.500
0.667 0.333 0.230
0.333 0.667 0.770
0.333 0.667 0.031
0.321 0.161 0.307
0.839 0.160 0.307
0.667 0.333 0.969
0.161 0.840 0.693
0.679 0.839 0.693
0.160 0.321 0.693
0.840 0.679 0.307